No. 1
! Tl2CrMo (GGA-PBEsol, optimized geometry); values from VASP
! Theoretical density (g/cm³): 12.43
! Energy of formation from the pure elements (kJ/mol of formula units): 324
! SG: Fm-3m (225)
! Polymorph energy (0 for the lowest one) (meV/atom): 0.0
&SYSTEM
  ibrav = 0, nat = 4, ntyp = 3
/
ATOMIC_SPECIES
Cr 52.00 Cr.upf
Mo 95.94 Mo.upf
Tl 204.38 Tl.upf
CELL_PARAMETERS angstrom
-3.043 -2.723 -2.369
0.909 -1.221 -4.468
1.141 -4.460 -1.042
ATOMIC_POSITIONS crystal
Cr 0.500 0.500 0.500
Mo 0.000 0.000 0.000
Tl 0.750 0.750 0.750
Tl 0.250 0.250 0.250

No. 2
! TeAuI2N (GGA-PBEsol, optimized geometry); values from VASP
! Theoretical density (g/cm³): 7.51
! SG: P4/mmm (123)
! ΔE_f (raw) (eV/atom): 0.86
! Polymorph energy (0 for the lowest one) (meV/atom): 0.0
&SYSTEM
  ibrav = 0, nat = 5, ntyp = 4
/
ATOMIC_SPECIES
I 126.90 I.upf
Te 127.60 Te.upf
Au 196.97 Au.upf
N 14.01 N.upf
CELL_PARAMETERS angstrom
-2.696 -1.006 -2.353
3.874 -3.345 -3.009
-1.303 -4.635 3.475
ATOMIC_POSITIONS crystal
I 0.000 0.000 0.500
I 0.000 0.500 0.000
Te 0.500 0.500 0.500
Au 0.000 0.000 0.000
N 0.500 0.000 0.000

No. 3
! Co2Ge (GGA-PBEsol, optimized geometry); values from VASP
! Theoretical density (g/cm³): 9.53
! Energy of formation from the pure elements (kJ/mol of formula units): -48
! SG: P6_3/mmc (194)
&SYSTEM
  ibrav = 0, nat = 6, ntyp = 2
/
ATOMIC_SPECIES
Ge 72.64 Ge.upf
Co 58.93 Co.upf
CELL_PARAMETERS angstrom
3.944 0.000 0.000
-1.972 3.416 0.000
0.000 0.000 4.927
ATOMIC_POSITIONS crystal
Ge 0.667 0.333 0.750
Ge 0.333 0.667 0.250
Co 0.333 0.667 0.750
Co 0.000 0.000 0.500
Co 0.000 0.000 0.000
Co 0.667 0.333 0.250

No. 4
! LiCaGa3 (GGA-PBEsol, optimized geometry); values from VASP
! Theoretical density (g/cm³): 2.61
! Energy of formation from the pure elements (kJ/mol of formula units): 322
! SG: Pm-3m (221)
&SYSTEM
  ibrav = 0, nat = 5, ntyp = 3
/
ATOMIC_SPECIES
Ca 40.08 Ca.upf
Ga 69.72 Ga.upf
Li 6.94 Li.upf
CELL_PARAMETERS angstrom
5.463 0.000 0.000
0.000 5.463 0.000
0.000 0.000 5.463
ATOMIC_POSITIONS crystal
Ca 0.000 0.000 0.000
Ga 0.000 0.500 0.000
Ga 0.000 0.000 0.500
Ga 0.500 0.000 0.000
Li 0.500 0.500 0.500